The following is a PBE calculation of a geometry-optimized BAs2SeF structure, from Alexandria.

Structure (POSCAR):
```
BAs2SeF
1.0
4.394 0.000 0.000
0.000 4.394 0.000
0.000 0.000 4.386
B As Se F
1 2 1 1
direct
0.000 0.000 0.000 B
0.000 0.500 0.000 As
0.500 0.000 0.000 As
0.000 0.000 0.500 Se
0.500 0.500 0.500 F
```

- Total moment: 0.0000 μB per atom
- ρ: 5.07 g/cm³
- Relative energy among the computed polymorphs: 0.000 kcal/mol of atoms